Entry 1:
VASP calculation (PBE-GGA) on Na4Tl after structural relaxation.

abc: 4.493 4.493 17.305
angles: 90.00 90.00 90.00
Space group I4/mmm (No. 139)
Symmetry-distinct sites (fractional):
Na: 0.000 0.000 0.090 [4 per cell]
Na: 0.000 0.500 0.250 [4 per cell]
Tl: 0.000 0.000 0.500 [2 per cell]

E_tot   -1.45 eV/atom
Distance to the lowest polymorph of the same formula   0.127 eV per atom

Entry 2:
VASP calculation (PBE-GGA) on Ta2CoBr after structural relaxation.

abc: 3.040 4.759 9.037
angles: 90.00 90.00 90.00
Space group Imm2 (No. 44)
Symmetry-distinct sites (fractional):
Ta: 0.000 0.000 0.000 [2 per cell]
Ta: 0.000 0.500 0.210 [2 per cell]
Co: 0.000 0.000 0.484 [2 per cell]
Br: 0.000 0.500 0.749 [2 per cell]

E_tot   -7.62 eV/atom
Distance to the lowest polymorph of the same formula   0.417 eV per atom
Uncorrected formation energy   503 meV per atom

Q: Which value of distance to the lowest polymorph of the same formula does entry 1 give?
A: 0.127 eV per atom